Entry 1:
SrCuPPd2 | Alexandria via LeMat-Bulk | GGA-PBE | relaxed; calculated total energy = -4.87 eV per atom; D(E_F) = 1.04 states/eV/cell
1.0
4.736 0.000 0.000
0.000 4.736 0.000
0.000 0.000 4.417
Sr Cu P Pd
1 1 1 2
Direct
0.000 0.000 0.000
0.500 0.500 0.000
0.500 0.500 0.500
0.000 0.500 0.500
0.500 0.000 0.500

=====

Entry 2:
SrCuP2Pd | Alexandria via LeMat-Bulk | GGA-PBE | relaxed; calculated total energy = -5.05 eV per atom; D(E_F) = 1.94 states/eV/cell
1.0
4.203 0.000 0.000
0.000 4.203 0.000
0.000 0.000 9.869
Sr Cu P Pd
2 2 4 2
Direct
0.000 0.000 0.000
0.500 0.500 0.500
0.000 0.500 0.750
0.500 0.000 0.250
0.000 0.000 0.383
0.000 0.000 0.617
0.500 0.500 0.117
0.500 0.500 0.883
0.000 0.500 0.250
0.500 0.000 0.750

=====

Entry 3:
ThCuP2Pd | Alexandria via LeMat-Bulk | GGA-PBE | relaxed; calculated total energy = -6.34 eV per atom; D(E_F) = 2.69 states/eV/cell
1.0
4.046 0.000 0.000
-2.023 3.504 0.000
0.000 0.000 6.619
Th Cu P Pd
1 1 2 1
Direct
0.000 0.000 0.000
0.667 0.333 0.362
0.333 0.667 0.264
0.667 0.333 0.731
0.333 0.667 0.643

=====

Entry 4:
VCuPPd2 | Alexandria via LeMat-Bulk | GGA-PBE | relaxed; calculated total energy = -4.99 eV per atom; D(E_F) = 6.77 states/eV/cell
1.0
4.650 0.000 0.000
0.000 4.650 0.000
0.000 0.000 4.067
V Cu P Pd
1 1 1 2
Direct
0.000 0.000 0.000
0.500 0.500 0.500
0.500 0.500 0.000
0.000 0.500 0.500
0.500 0.000 0.500

=====

Entry 5:
ZrCuP2Pd | Alexandria via LeMat-Bulk | GGA-PBE | relaxed; calculated total energy = -5.22 eV per atom; D(E_F) = 3.24 states/eV/cell
1.0
4.336 0.000 0.000
0.000 4.336 0.000
0.000 0.000 4.925
Zr Cu P Pd
1 1 2 1
Direct
0.000 0.000 0.000
0.000 0.000 0.500
0.000 0.500 0.500
0.500 0.000 0.500
0.500 0.500 0.000

=====

Entry 6:
PmCu4P2 | Alexandria via LeMat-Bulk | GGA-PBE | relaxed; calculated total energy = -5.10 eV per atom; D(E_F) = 3.92 states/eV/cell; polymorph energy (0 for the lowest one) = 0.000 eV/atom
1.0
7.332 0.000 0.000
0.000 7.332 0.000
0.000 0.000 3.832
Pm Cu P
2 8 4
Direct
0.000 0.000 0.000
0.500 0.500 0.500
0.084 0.336 0.500
0.164 0.584 0.000
0.336 0.084 0.500
0.416 0.836 0.000
0.584 0.164 0.000
0.664 0.916 0.500
0.836 0.416 0.000
0.916 0.664 0.500
0.215 0.785 0.500
0.285 0.285 0.000
0.715 0.715 0.000
0.785 0.215 0.500

=====

Entry 7:
PmCuP | Alexandria via LeMat-Bulk | GGA-PBE | relaxed; calculated total energy = -5.30 eV per atom; D(E_F) = 6.17 states/eV/cell; polymorph energy (0 for the lowest one) = 0.446 eV/atom
1.0
6.203 0.000 0.000
0.000 6.203 0.000
0.000 0.000 6.203
Pm Cu P
4 4 4
Direct
0.000 0.000 0.000
0.000 0.500 0.500
0.500 0.000 0.500
0.500 0.500 0.000
0.250 0.250 0.750
0.250 0.750 0.250
0.750 0.250 0.250
0.750 0.750 0.750
0.000 0.000 0.500
0.000 0.500 0.000
0.500 0.000 0.000
0.500 0.500 0.500

=====

Entry 8:
PmCuP | Alexandria via LeMat-Bulk | GGA-PBE | relaxed; calculated total energy = -5.19 eV per atom; D(E_F) = 3.30 states/eV/cell; polymorph energy (0 for the lowest one) = 0.562 eV/atom
1.0
3.979 0.000 0.000
0.000 3.979 0.000
0.000 0.000 7.922
Pm Cu P
2 2 2
Direct
0.000 0.000 0.000
0.500 0.500 0.500
0.000 0.000 0.648
0.500 0.500 0.148
0.000 0.000 0.361
0.500 0.500 0.861

=====

Entry 9:
PmCu3P3 | Alexandria via LeMat-Bulk | GGA-PBE | relaxed; calculated total energy = -5.01 eV per atom; D(E_F) = 4.33 states/eV/cell
1.0
6.317 0.000 0.000
0.000 6.317 0.000
0.000 0.000 6.317
Pm Cu P
2 6 6
Direct
0.000 0.000 0.000
0.500 0.500 0.500
0.000 0.250 0.500
0.000 0.750 0.500
0.250 0.500 0.000
0.500 0.000 0.250
0.500 0.000 0.750
0.750 0.500 0.000
0.000 0.500 0.250
0.000 0.500 0.750
0.250 0.000 0.500
0.500 0.250 0.000
0.500 0.750 0.000
0.750 0.000 0.500

=====

Entry 10:
Pm2CuP | Alexandria via LeMat-Bulk | GGA-PBE | relaxed; calculated total energy = -5.34 eV per atom; D(E_F) = 14.57 states/eV/cell; polymorph energy (0 for the lowest one) = 0.066 eV/atom
1.0
7.076 0.000 0.000
0.000 7.076 0.000
0.000 0.000 7.076
Pm Cu P
8 4 4
Direct
0.250 0.250 0.250
0.250 0.250 0.750
0.250 0.750 0.250
0.250 0.750 0.750
0.750 0.250 0.250
0.750 0.250 0.750
0.750 0.750 0.250
0.750 0.750 0.750
0.000 0.000 0.000
0.000 0.500 0.500
0.500 0.000 0.500
0.500 0.500 0.000
0.000 0.000 0.500
0.000 0.500 0.000
0.500 0.000 0.000
0.500 0.500 0.500

=====

Entry 11:
PmCu4P2 | Alexandria via LeMat-Bulk | GGA-PBE | relaxed; calculated total energy = -5.07 eV per atom; D(E_F) = 1.19 states/eV/cell; polymorph energy (0 for the lowest one) = 0.033 eV/atom
1.0
2.013 1.162 7.456
-2.013 1.162 7.456
0.000 -2.325 7.456
Pm Cu P
1 4 2
Direct
0.000 0.000 0.000
0.146 0.146 0.146
0.431 0.431 0.431
0.569 0.569 0.569
0.854 0.854 0.854
0.251 0.251 0.251
0.749 0.749 0.749

=====

Entry 12:
Pm4Cu5P7 | Alexandria via LeMat-Bulk | GGA-PBE | relaxed; calculated total energy = -5.63 eV per atom; D(E_F) = 4.85 states/eV/cell
1.0
-2.672 2.672 10.014
2.672 -2.672 10.014
2.672 2.672 -10.014
Pm Cu P
4 5 7
Direct
0.139 0.139 0.514
0.376 0.861 0.000
0.624 0.624 0.486
0.861 0.376 0.000
0.000 0.000 0.000
0.250 0.750 0.500
0.251 0.251 0.000
0.749 0.749 0.000
0.750 0.250 0.500
0.000 0.500 0.500
0.071 0.578 0.000
0.422 0.422 0.493
0.500 0.000 0.500
0.500 0.500 0.000
0.578 0.071 0.000
0.929 0.929 0.507

=====

Entry 13:
Pm4Cu2P | Alexandria via LeMat-Bulk | GGA-PBE | relaxed; calculated total energy = -4.94 eV per atom; D(E_F) = 16.26 states/eV/cell
1.0
5.496 0.000 0.000
0.000 5.496 0.000
0.000 0.000 13.598
Pm Cu P
8 4 2
Direct
0.000 0.000 0.203
0.000 0.000 0.797
0.000 0.500 0.000
0.000 0.500 0.500
0.500 0.000 0.000
0.500 0.000 0.500
0.500 0.500 0.297
0.500 0.500 0.703
0.000 0.000 0.408
0.000 0.000 0.592
0.500 0.500 0.092
0.500 0.500 0.908
0.000 0.000 0.000
0.500 0.500 0.500

=====

Entry 14:
Pm3CuP | Alexandria via LeMat-Bulk | GGA-PBE | relaxed; calculated total energy = -4.93 eV per atom; D(E_F) = 9.29 states/eV/cell
1.0
5.413 0.000 0.000
0.000 5.413 0.000
0.000 0.000 5.413
Pm Cu P
3 1 1
Direct
0.000 0.000 0.500
0.000 0.500 0.000
0.500 0.000 0.000
0.500 0.500 0.500
0.000 0.000 0.000

=====

Entry 15:
Pm2CuP | Alexandria via LeMat-Bulk | GGA-PBE | relaxed; calculated total energy = -5.40 eV per atom; D(E_F) = 2.31 states/eV/cell; polymorph energy (0 for the lowest one) = 0.000 eV/atom
1.0
3.634 0.000 0.000
0.000 3.634 0.000
0.000 0.000 6.821
Pm Cu P
2 1 1
Direct
0.000 0.000 0.237
0.000 0.000 0.763
0.500 0.500 0.500
0.500 0.500 0.000

=====

Entry 16:
PmCuP | Alexandria via LeMat-Bulk | GGA-PBE | relaxed; calculated total energy = -5.62 eV per atom; D(E_F) = 6.69 states/eV/cell; polymorph energy (0 for the lowest one) = 0.133 eV/atom
1.0
6.980 0.000 0.000
0.000 4.134 0.000
0.000 0.000 8.593
Pm Cu P
4 4 4
Direct
0.154 0.250 0.156
0.346 0.750 0.656
0.654 0.250 0.344
0.846 0.750 0.844
0.023 0.750 0.410
0.477 0.250 0.910
0.523 0.750 0.090
0.977 0.250 0.590
0.146 0.250 0.826
0.354 0.750 0.326
0.646 0.250 0.674
0.854 0.750 0.174

=====

Entry 17:
Pm3Cu6P5 | Alexandria via LeMat-Bulk | GGA-PBE | relaxed; calculated total energy = -5.42 eV per atom; D(E_F) = 9.62 states/eV/cell
1.0
3.897 0.000 0.000
0.000 12.012 0.000
0.000 0.000 9.811
Pm Cu P
6 12 10
Direct
0.250 0.091 0.249
0.250 0.409 0.249
0.250 0.750 0.255
0.750 0.250 0.745
0.750 0.591 0.751
0.750 0.909 0.751
0.250 0.066 0.603
0.250 0.250 0.488
0.250 0.250 0.988
0.250 0.434 0.603
0.250 0.581 0.006
0.250 0.919 0.006
0.750 0.081 0.994
0.750 0.419 0.994
0.750 0.566 0.397
0.750 0.750 0.012
0.750 0.750 0.512
0.750 0.934 0.397
0.250 0.080 0.848
0.250 0.420 0.848
0.250 0.622 0.520
0.250 0.750 0.870
0.250 0.878 0.520
0.750 0.122 0.480
0.750 0.250 0.130
0.750 0.378 0.480
0.750 0.580 0.152
0.750 0.920 0.152

=====

Entry 18:
Pm2Cu2P3 | Alexandria via LeMat-Bulk | GGA-PBE | relaxed; calculated total energy = -5.79 eV per atom; D(E_F) = 0.96 states/eV/cell
1.0
7.436 -2.011 0.000
7.436 2.011 0.000
-6.678 0.000 8.933
Pm Cu P
4 4 6
Direct
0.105 0.105 0.439
0.237 0.237 0.842
0.763 0.763 0.158
0.895 0.895 0.561
0.088 0.088 0.149
0.452 0.452 0.180
0.548 0.548 0.820
0.912 0.912 0.851
0.109 0.109 0.957
0.344 0.344 0.698
0.426 0.426 0.378
0.574 0.574 0.622
0.656 0.656 0.302
0.891 0.891 0.043

=====

Entry 19:
PmCu3P2 | Alexandria via LeMat-Bulk | GGA-PBE | relaxed; calculated total energy = -5.22 eV per atom; D(E_F) = 2.71 states/eV/cell
1.0
7.344 -1.957 0.000
7.344 1.957 0.000
-3.289 0.000 6.556
Pm Cu P
2 6 4
Direct
0.143 0.143 0.052
0.857 0.857 0.948
0.053 0.053 0.392
0.313 0.313 0.566
0.401 0.401 0.336
0.599 0.599 0.664
0.687 0.687 0.434
0.947 0.947 0.608
0.200 0.200 0.708
0.485 0.485 0.804
0.515 0.515 0.196
0.800 0.800 0.292

=====

Entry 20:
PmCuP | Alexandria via LeMat-Bulk | GGA-PBE | relaxed; calculated total energy = -5.75 eV per atom; D(E_F) = 1.74 states/eV/cell; polymorph energy (0 for the lowest one) = 0.000 eV/atom
1.0
3.996 0.000 0.000
-1.998 3.460 0.000
0.000 0.000 4.088
Pm Cu P
1 1 1
Direct
0.000 0.000 0.000
0.333 0.667 0.500
0.667 0.333 0.500